1.
Computed, not measured: a geometry-optimized Tc2CSe4 structure at the PBE level of DFT.

Results
E_form (uncorrected)   1.004 eV per atom

Cell lengths 4.267, 4.267, 12.966 Å; angles 90.00, 90.00, 90.00 degrees
Space group I4/mmm (No. 139)
Symmetry-distinct sites (fractional):
Tc 0.000 0.000 0.120 (multiplicity 4)
C 0.000 0.000 0.500 (multiplicity 2)
Se 0.000 0.000 0.314 (multiplicity 4)
Se 0.000 0.500 0.000 (multiplicity 4)


2.
Computed, not measured: a geometry-optimized GaSCl2 structure at the PBE level of DFT.

Results
E_form (uncorrected)   0.382 eV per atom
ΔE to the lowest computed polymorph   569 meV/atom

Cell lengths 3.3386, 3.3386, 28.5528 Å; angles 90.00, 90.00, 120.00 degrees
Space group R-3m (No. 166, hexagonal axes)
Symmetry-distinct sites (fractional):
Ga 0.0000 0.0000 0.0000 (multiplicity 3)
S 0.0000 0.0000 0.5000 (multiplicity 3)
Cl 0.0000 0.0000 0.0754 (multiplicity 6)


3.
Computed, not measured: a geometry-optimized La3S2N2 structure at the PBE level of DFT.

Results
E_form (uncorrected)   -1.590 eV per atom

Cell lengths 6.610, 7.466, 7.266 Å; angles 90.00, 115.45, 90.00 degrees
Space group P2_1/c (No. 14)
Symmetry-distinct sites (fractional):
La 0.000 0.000 0.000 (multiplicity 2)
La 0.377 0.093 0.736 (multiplicity 4)
S 0.198 0.669 0.907 (multiplicity 4)
N 0.336 0.120 0.059 (multiplicity 4)


4.
Computed, not measured: a geometry-optimized Sr2Tl structure at the PBE level of DFT.

Results
Energy relative to the elements   -0.294 eV/atom

Cell lengths 8.215, 8.215, 7.444 Å; angles 90.00, 90.00, 90.00 degrees
Space group I4/mcm (No. 140)
Symmetry-distinct sites (fractional):
Sr 0.181 0.319 0.000 (multiplicity 8)
Tl 0.000 0.000 0.250 (multiplicity 4)


5.
Computed, not measured: a geometry-optimized MgZrMnS4 structure at the PBE level of DFT.

Results
E_form (uncorrected)   -1.175 eV per atom

Cell lengths 7.444, 7.519, 10.837 Å; angles 90.00, 90.00, 90.00 degrees
Space group Imma (No. 74)
Symmetry-distinct sites (fractional):
Mg 0.000 0.250 0.141 (multiplicity 4)
Zr 0.000 0.000 0.500 (multiplicity 4)
Mn 0.250 0.250 0.750 (multiplicity 4)
S 0.000 0.024 0.738 (multiplicity 8)
S 0.240 0.250 0.502 (multiplicity 8)


6.
Computed, not measured: a geometry-optimized RbZn2AgCl6 structure at the PBE level of DFT.

Results
E_form (uncorrected)   -1.178 eV per atom

Cell lengths 13.415, 14.825, 6.410 Å; angles 90.00, 99.11, 90.00 degrees
Space group C2/c (No. 15)
Symmetry-distinct sites (fractional):
Rb 0.000 0.115 0.250 (multiplicity 4)
Zn 0.202 0.424 0.226 (multiplicity 8)
Ag 0.000 0.337 0.750 (multiplicity 4)
Cl 0.118 0.301 0.077 (multiplicity 8)
Cl 0.130 0.085 0.736 (multiplicity 8)
Cl 0.143 0.443 0.551 (multiplicity 8)